1.
The following is a DFT calculation (SCAN) of a PBEsol-optimized structure of LiYPt4.

a = 5.278 Å, b = 5.278 Å, c = 5.278 Å
α = 60.00°, β = 60.00°, γ = 60.00°
Atoms (fractional coordinates):
Li 0.000 0.000 0.000
Y 0.250 0.250 0.250
Pt 0.124 0.625 0.625
Pt 0.625 0.124 0.625
Pt 0.625 0.625 0.124
Pt 0.625 0.625 0.625

## Properties
SG ... F-43m, No. 216
Calculated total energy ... -52.864 eV/atom

***

2.
The following is a DFT calculation (SCAN) of a PBEsol-optimized structure of LiY2Pt.

a = 4.818 Å, b = 4.818 Å, c = 3.629 Å
α = 90.00°, β = 90.00°, γ = 90.00°
Atoms (fractional coordinates):
Li 0.000 0.000 0.000
Y 0.000 0.500 0.500
Y 0.500 0.000 0.500
Pt 0.500 0.500 0.000

## Properties
SG ... P4/mmm, No. 123
Calculated total energy ... -32.837 eV/atom

***

| no. | calculated formation energy (meV per atom) |
| --- | --- |
| 1 | -1030 |
| 2 | -770 |